DFT (GGA-PBE) results for a relaxed structure of Nb2TcAg.

Results
* size of the total moment: 0.03 μB per cell
* V: 16.9 Å³/atom
* DFT total energy: -0.590 Ry/atom
* formation energy: 0.31 eV/atom

Unit cell a=6.4706 b=6.4706 c=6.4706 alpha=90.00 beta=90.00 gamma=90.00
Space group F-43m (No. 216)
Inequivalent atoms, fractional coordinates:
Nb 0.0000 0.0000 0.0000
Nb 0.2500 0.2500 0.2500
Tc 0.0000 0.0000 0.5000
Ag 0.2500 0.2500 0.7500

DFT (GGA-PBE) results for a relaxed structure of ScAlCu2.

Results
* size of the total moment: 0.01 μB per cell
* V: 14.9 Å³/atom
* DFT total energy: -0.338 Ry/atom

Unit cell a=6.2066 b=6.2066 c=6.2066 alpha=90.00 beta=90.00 gamma=90.00
Space group F-43m (No. 216)
Inequivalent atoms, fractional coordinates:
Sc 0.0000 0.0000 0.0000
Al 0.2500 0.2500 0.7500
Cu 0.0000 0.0000 0.5000
Cu 0.2500 0.2500 0.2500

DFT (GGA-PBE) results for a relaxed structure of Nd2In.

Results
* size of the total moment: 0.04 μB per cell
* V: 104.0 Å³/atom
* DFT total energy: -0.195 Ry/atom

Unit cell a=13.5649 b=13.5649 c=13.5649 alpha=90.00 beta=90.00 gamma=90.00
Space group Fd-3m (No. 227, origin choice 2)
Inequivalent atoms, fractional coordinates:
Nd 0.0000 0.0000 0.0000
In 0.1250 0.1250 0.1250

DFT (GGA-PBE) results for a relaxed structure of FeMo4AsN2.

Results
* size of the total moment: 2.63 μB per cell
* V: 12.7 Å³/atom
* DFT total energy: -0.665 Ry/atom

Unit cell a=2.9563 b=2.9563 c=13.4557 alpha=90.00 beta=90.00 gamma=120.00
Space group P-6m2 (No. 187)
Inequivalent atoms, fractional coordinates:
Fe 0.0000 0.0000 0.0000
Mo 0.0000 0.0000 0.3502
Mo 0.3333 0.6667 0.1543
As 0.3333 0.6667 0.5000
N 0.6667 0.3333 0.2511

DFT (GGA-PBE) results for a relaxed structure of Cs2CoI4.

Results
* size of the total moment: 6.00 μB per cell
* V: 48.6 Å³/atom
* DFT total energy: -0.226 Ry/atom

Unit cell a=7.9664 b=8.3097 c=10.9156 alpha=90.00 beta=109.62 gamma=90.00
Space group P2_1/m (No. 11)
Inequivalent atoms, fractional coordinates:
Cs 0.1947 0.2500 0.4118
Cs 0.2999 0.2500 0.9628
Co 0.3066 0.7500 0.2156
I 0.0965 0.7500 0.3530
I 0.1496 0.7500 0.9639
I 0.4854 0.0019 0.7219

DFT (GGA-PBE) results for a relaxed structure of BeFeSbMo.

Results
* size of the total moment: 7.78 μB per cell
* V: 14.2 Å³/atom
* DFT total energy: -0.469 Ry/atom
* polymorph energy (0 for the lowest one): 0 meV per atom

Unit cell a=6.0991 b=6.0991 c=6.0991 alpha=90.00 beta=90.00 gamma=90.00
Space group F-43m (No. 216)
Inequivalent atoms, fractional coordinates:
Be 0.0000 0.0000 0.0000
Fe 0.2500 0.2500 0.7500
Sb 0.0000 0.0000 0.5000
Mo 0.2500 0.2500 0.2500

DFT (GGA-PBE) results for a relaxed structure of Li2Cd2BiSb.

Results
* V: 25.4 Å³/atom
* DFT total energy: -0.189 Ry/atom

Unit cell a=11.6627 b=4.7596 c=11.6636 alpha=90.00 beta=109.38 gamma=90.00
Space group Pm (No. 6)
Inequivalent atoms, fractional coordinates:
Li 0.0000 0.0000 0.0000
Li 0.1195 0.5000 0.3698
Li 0.2484 0.0000 0.7454
Li 0.3776 0.5000 0.1264
Li 0.5033 0.0000 0.5055
Li 0.6243 0.5000 0.8765
Li 0.7440 0.0000 0.2520
Li 0.8741 0.5000 0.6307
Cd 0.1187 0.5000 0.6190
Cd 0.2539 0.0000 0.9985
Cd 0.3739 0.5000 0.3767
Cd 0.5044 0.0000 0.7570
Cd 0.6258 0.5000 0.1231
Cd 0.7550 0.0000 0.5067
Cd 0.8709 0.5000 0.8780
Cd 0.9910 0.0000 0.2479
Bi 0.1229 0.5000 0.8731
Bi 0.2458 0.0000 0.2488
Bi 0.3750 0.5000 0.6287
Bi 0.6262 0.5000 0.3770
Sb 0.5023 0.0000 0.0032
Sb 0.7509 0.0000 0.7533
Sb 0.8724 0.5000 0.1249
Sb 0.9985 0.0000 0.4977

DFT (GGA-PBE) results for a relaxed structure of Rb2AgBiBr6.

Results
* V: 35.4 Å³/atom
* DFT total energy: -0.219 Ry/atom

Unit cell a=7.8106 b=7.8106 c=11.6199 alpha=90.00 beta=90.00 gamma=90.00
Space group I4/m (No. 87)
Inequivalent atoms, fractional coordinates:
Rb 0.0000 0.5000 0.2500
Ag 0.0000 0.0000 0.0000
Bi 0.0000 0.0000 0.5000
Br 0.0000 0.0000 0.2516
Br 0.1834 0.3111 0.0000